Here is an optimized crystal structure of YTi2GeF from the Alexandria database. Energies are from PBE.

Computed properties:
Density of states at the Fermi level, states/eV/cell: 2.81
Uncorrected energy, eV per atom: -5.708
Uncorrected formation energy, eV/f.u.: 0.202
Symmetry: P4/mmm

Geometry as CIF:
```
data_YTi2GeF
_chemical_formula_sum 'Y1 Ti2 Ge1 F1'
_cell_length_a 4.826
_cell_length_b 5.631
_cell_length_c 4.826
_cell_angle_alpha 90.00
_cell_angle_beta 90.00
_cell_angle_gamma 90.00
_space_group_name_H-M_alt 'P 1'
_space_group_IT_number 1
_space_group_name_Hall 'P 1'
loop_
_atom_site_label
_atom_site_type_symbol
_atom_site_fract_x
_atom_site_fract_y
_atom_site_fract_z
_atom_site_occupancy
Y1 Y 0.000 0.500 0.000 1
Ge1 Ge 0.000 0.000 0.000 1
F1 F 0.500 0.500 0.500 1
Ti1 Ti 0.000 0.000 0.500 1
Ti2 Ti 0.500 0.000 0.000 1
```

Here is an optimized crystal structure of ZrTiGe2F from the Alexandria database. Energies are from PBE.

Computed properties:
Density of states at the Fermi level, states/eV/cell: 3.50
Uncorrected energy, eV per atom: -5.017
Uncorrected formation energy, eV/f.u.: 2.462
Symmetry: P4/mmm

Geometry as CIF:
```
data_ZrTiGe2F
_chemical_formula_sum 'Zr1 Ti1 Ge2 F1'
_cell_length_a 5.143
_cell_length_b 4.998
_cell_length_c 5.143
_cell_angle_alpha 90.00
_cell_angle_beta 90.00
_cell_angle_gamma 90.00
_space_group_name_H-M_alt 'P 1'
_space_group_IT_number 1
_space_group_name_Hall 'P 1'
loop_
_atom_site_label
_atom_site_type_symbol
_atom_site_fract_x
_atom_site_fract_y
_atom_site_fract_z
_atom_site_occupancy
Ge1 Ge 0.000 0.000 0.500 1
Ge2 Ge 0.500 0.000 0.000 1
F1 F 0.500 0.500 0.500 1
Zr1 Zr 0.000 0.000 0.000 1
Ti1 Ti 0.000 0.500 0.000 1
```

Here is an optimized crystal structure of TlGeF3 from the Alexandria database. Energies are from PBE.

Computed properties:
Density of states at the Fermi level, states/eV/cell: 0.00
Relative energy among the computed polymorphs, eV per atom: 0.0161
Uncorrected energy, eV per atom: -4.540
Uncorrected formation energy, eV/f.u.: -10.100
Symmetry: P2_1/m

Geometry as CIF:
```
data_TlGeF3
_chemical_formula_sum 'Tl2 Ge2 F6'
_cell_length_a 5.197
_cell_length_b 5.920
_cell_length_c 7.659
_cell_angle_alpha 90.00
_cell_angle_beta 112.52
_cell_angle_gamma 90.00
_space_group_name_H-M_alt 'P 1'
_space_group_IT_number 1
_space_group_name_Hall 'P 1'
loop_
_atom_site_label
_atom_site_type_symbol
_atom_site_fract_x
_atom_site_fract_y
_atom_site_fract_z
_atom_site_occupancy
Tl1 Tl 0.290 0.250 0.214 1
Tl2 Tl 0.710 0.750 0.786 1
Ge1 Ge 0.203 0.250 0.695 1
Ge2 Ge 0.797 0.750 0.305 1
F1 F 0.832 0.524 0.142 1
F2 F 0.168 0.476 0.858 1
F3 F 0.832 0.976 0.142 1
F4 F 0.168 0.024 0.858 1
F5 F 0.824 0.250 0.548 1
F6 F 0.176 0.750 0.452 1
```

Here is an optimized crystal structure of TlGeF3 from the Alexandria database. Energies are from PBE.

Computed properties:
Density of states at the Fermi level, states/eV/cell: 0.00
Relative energy among the computed polymorphs, eV per atom: 0.0416
Uncorrected energy, eV per atom: -4.514
Uncorrected formation energy, eV/f.u.: -9.973
Symmetry: R3m

Geometry as CIF:
```
data_TlGeF3
_chemical_formula_sum 'Tl1 Ge1 F3'
_cell_length_a 4.681
_cell_length_b 4.681
_cell_length_c 4.681
_cell_angle_alpha 96.40
_cell_angle_beta 96.40
_cell_angle_gamma 96.40
_space_group_name_H-M_alt 'P 1'
_space_group_IT_number 1
_space_group_name_Hall 'P 1'
loop_
_atom_site_label
_atom_site_type_symbol
_atom_site_fract_x
_atom_site_fract_y
_atom_site_fract_z
_atom_site_occupancy
Tl1 Tl 0.062 0.062 0.062 1
Ge1 Ge 0.571 0.571 0.571 1
F1 F 0.542 0.158 0.542 1
F2 F 0.158 0.542 0.542 1
F3 F 0.542 0.542 0.158 1
```

Here is an optimized crystal structure of Tl3Ge2F6 from the Alexandria database. Energies are from PBE.

Computed properties:
Density of states at the Fermi level, states/eV/cell: 3.97
Uncorrected energy, eV per atom: -4.253
Uncorrected formation energy, eV/f.u.: -19.218
Symmetry: P-3

Geometry as CIF:
```
data_Tl3Ge2F6
_chemical_formula_sum 'Tl3 Ge2 F6'
_cell_length_a 7.301
_cell_length_b 6.264
_cell_length_c 6.264
_cell_angle_alpha 120.00
_cell_angle_beta 90.00
_cell_angle_gamma 90.00
_space_group_name_H-M_alt 'P 1'
_space_group_IT_number 1
_space_group_name_Hall 'P 1'
loop_
_atom_site_label
_atom_site_type_symbol
_atom_site_fract_x
_atom_site_fract_y
_atom_site_fract_z
_atom_site_occupancy
Tl1 Tl 0.859 0.667 0.333 1
Tl2 Tl 0.141 0.333 0.667 1
Tl3 Tl 0.500 0.000 0.000 1
Ge1 Ge 0.630 0.333 0.667 1
Ge2 Ge 0.370 0.667 0.333 1
F1 F 0.785 0.245 0.391 1
F2 F 0.785 0.146 0.755 1
F3 F 0.785 0.609 0.854 1
F4 F 0.215 0.755 0.609 1
F5 F 0.215 0.854 0.245 1
F6 F 0.215 0.391 0.146 1
```

Here is an optimized crystal structure of TlGeF3 from the Alexandria database. Energies are from PBE.

Computed properties:
Density of states at the Fermi level, states/eV/cell: 0.00
Relative energy among the computed polymorphs, eV per atom: 0.2545
Uncorrected energy, eV per atom: -4.301
Uncorrected formation energy, eV/f.u.: -8.908
Symmetry: Cmcm

Geometry as CIF:
```
data_TlGeF3
_chemical_formula_sum 'Tl2 Ge2 F6'
_cell_length_a 6.819
_cell_length_b 6.819
_cell_length_c 7.391
_cell_angle_alpha 90.00
_cell_angle_beta 90.00
_cell_angle_gamma 132.41
_space_group_name_H-M_alt 'P 1'
_space_group_IT_number 1
_space_group_name_Hall 'P 1'
loop_
_atom_site_label
_atom_site_type_symbol
_atom_site_fract_x
_atom_site_fract_y
_atom_site_fract_z
_atom_site_occupancy
Tl1 Tl 0.384 0.616 0.250 1
Tl2 Tl 0.616 0.384 0.750 1
Ge1 Ge 0.097 0.903 0.250 1
Ge2 Ge 0.903 0.097 0.750 1
F1 F 0.970 0.549 0.250 1
F2 F 0.451 0.030 0.250 1
F3 F 0.549 0.970 0.750 1
F4 F 0.030 0.451 0.750 1
F5 F 0.000 0.000 0.000 1
F6 F 0.000 0.000 0.500 1
```

Here is an optimized crystal structure of TlGeF3 from the Alexandria database. Energies are from PBE.

Computed properties:
Density of states at the Fermi level, states/eV/cell: 0.00
Relative energy among the computed polymorphs, eV per atom: 0.2908
Uncorrected energy, eV per atom: -4.265
Uncorrected formation energy, eV/f.u.: -8.727
Symmetry: Cmcm

Geometry as CIF:
```
data_TlGeF3
_chemical_formula_sum 'Tl2 Ge2 F6'
_cell_length_a 7.726
_cell_length_b 7.726
_cell_length_c 6.117
_cell_angle_alpha 90.00
_cell_angle_beta 90.00
_cell_angle_gamma 140.32
_space_group_name_H-M_alt 'P 1'
_space_group_IT_number 1
_space_group_name_Hall 'P 1'
loop_
_atom_site_label
_atom_site_type_symbol
_atom_site_fract_x
_atom_site_fract_y
_atom_site_fract_z
_atom_site_occupancy
Tl1 Tl 0.132 0.868 0.250 1
Tl2 Tl 0.868 0.132 0.750 1
Ge1 Ge 0.426 0.574 0.250 1
Ge2 Ge 0.574 0.426 0.750 1
F1 F 0.098 0.422 0.250 1
F2 F 0.578 0.902 0.250 1
F3 F 0.422 0.098 0.750 1
F4 F 0.902 0.578 0.750 1
F5 F 0.000 0.000 0.000 1
F6 F 0.000 0.000 0.500 1
```

Here is an optimized crystal structure of TlGeF2 from the Alexandria database. Energies are from PBE.

Computed properties:
Density of states at the Fermi level, states/eV/cell: 0.52
Relative energy among the computed polymorphs, eV per atom: 0.0000
Uncorrected energy, eV per atom: -4.086
Uncorrected formation energy, eV/f.u.: -5.616
Symmetry: R-3m

Geometry as CIF:
```
data_TlGeF2
_chemical_formula_sum 'Tl1 Ge1 F2'
_cell_length_a 8.175
_cell_length_b 8.175
_cell_length_c 8.175
_cell_angle_alpha 23.96
_cell_angle_beta 23.96
_cell_angle_gamma 23.96
_space_group_name_H-M_alt 'P 1'
_space_group_IT_number 1
_space_group_name_Hall 'P 1'
loop_
_atom_site_label
_atom_site_type_symbol
_atom_site_fract_x
_atom_site_fract_y
_atom_site_fract_z
_atom_site_occupancy
Tl1 Tl 0.500 0.500 0.500 1
Ge1 Ge 0.000 0.000 0.000 1
F1 F 0.913 0.913 0.913 1
F2 F 0.087 0.087 0.087 1
```